Material: HfTiCu
Method: DFT, PBE
State: relaxed

Values from the calculation:
The value obtained for the polymorph energy (0 for the lowest one) is 277.2 meV/atom. The total magnetization comes out at 0.0 μB/cell. The uncorrected energy comes out at -21.488 eV per formula unit. The calculation puts the formation energy from the elements at 0.1522 eV/atom. For the density, the calculation gives 9.094 g/cm3.

a b c (Å): 3.1901 4.3772 4.3772
angles (deg): 120.00 90.00 90.00
Element x y z (fractional)
Hf  0.0081  0.0000  0.0000
Ti  0.5172  0.3333  0.6667
Cu  0.4747  0.6667  0.3333